Arrangement A

K2RbIrF6: optimized geometry, PBE.

Geometry as CIF:
```
data_K2RbIrF6
_chemical_formula_sum 'K8 Rb4 Ir4 F24'
_space_group_name_H-M_alt 'F m -3 m'
_space_group_IT_number 225
_space_group_name_Hall '-F 4 2 3'
_cell_length_a 9.258
_cell_length_b 9.258
_cell_length_c 9.258
_cell_angle_alpha 90.00
_cell_angle_beta 90.00
_cell_angle_gamma 90.00
loop_
_atom_site_label
_atom_site_fract_x
_atom_site_fract_y
_atom_site_fract_z
K1 0.250 0.250 0.250
Rb1 0.000 0.000 0.000
Ir1 0.000 0.000 0.500
F1 0.000 0.000 0.281
```

Calculated values
Fermi-level density of states ... 0.0000 states/eV per atom

=====

Arrangement B

K2RbIrF6: optimized geometry, PBE.

Geometry as CIF:
```
data_K2RbIrF6
_chemical_formula_sum 'K4 Rb2 Ir2 F12'
_space_group_name_H-M_alt 'P m m n'
_space_group_IT_number 59
_cell_length_a 6.018
_cell_length_b 9.145
_cell_length_c 7.386
_cell_angle_alpha 90.00
_cell_angle_beta 90.00
_cell_angle_gamma 90.00
loop_
_space_group_symop_operation_xyz
'x,y,z'
'-x,-y,-z'
'-x+1/2,-y+1/2,z'
'x+1/2,y+1/2,-z'
'x+1/2,-y,-z'
'-x+1/2,y,z'
'-x,y+1/2,-z'
'x,-y+1/2,z'
loop_
_atom_site_label
_atom_site_fract_x
_atom_site_fract_y
_atom_site_fract_z
K1 0.250 0.046 0.165
Rb1 0.250 0.250 0.674
Ir1 0.250 0.750 0.818
F1 0.005 0.750 0.629
F2 0.013 0.750 0.017
F3 0.250 0.527 0.818
```

Calculated values
Fermi-level density of states ... 0.0000 states/eV per atom

=====

From most stable to least stable, the computed energies give arrangement B, arrangement A.